NaHg | PBE | relaxed

```
NaHg
1.0
0.000 3.386 3.386
3.386 0.000 3.386
3.386 3.386 0.000
Hg Na
1 1
Direct
0.000 0.000 0.000
0.250 0.250 0.250
```

- ρ (kg/m3) = 4783
- SG = F-43m
- electronic total energy (eV/atom) = -0.6863